1.
## GdYPt2 (GGA-PBE)

Data for a relaxed structure of GdYPt2.

Unit cell a=4.5221 b=5.5936 c=7.0897 alpha=90.00 beta=90.00 gamma=90.00
Element x y z (fractional)
Gd  0.0000  0.1101  0.0000
Gd  0.0000  0.8899  0.5000
Y  0.5000  0.3904  0.6358
Y  0.5000  0.6096  0.1358
Pt  0.0000  0.4039  0.3622
Pt  0.0000  0.5961  0.8622
Pt  0.5000  0.0964  0.2738
Pt  0.5000  0.9036  0.7738

Results
The total energy comes out at -7.065 eV/atom. The value obtained for the formation enthalpy at 0 K is -1.257 eV per atom.



2.
## K2InPdCl6 (GGA-PBE)

Data for a relaxed structure of K2InPdCl6.

Unit cell a=7.2227 b=7.2227 c=7.2227 alpha=60.00 beta=60.00 gamma=60.00
Element x y z (fractional)
K  0.2500  0.2500  0.2500
K  0.7500  0.7500  0.7500
In  0.0000  0.0000  0.0000
Pd  0.5000  0.5000  0.5000
Cl  0.2515  0.2515  0.7485
Cl  0.2515  0.7485  0.2515
Cl  0.2515  0.7485  0.7485
Cl  0.7485  0.2515  0.2515
Cl  0.7485  0.2515  0.7485
Cl  0.7485  0.7485  0.2515

Results
The total energy comes out at -3.335 eV/atom.



3.
## PmDyMo (GGA-PBE)

Data for a relaxed structure of PmDyMo.

Unit cell a=4.9365 b=4.9365 c=4.9365 alpha=60.00 beta=60.00 gamma=60.00
Element x y z (fractional)
Pm  0.0000  0.0000  0.0000
Dy  0.7500  0.7500  0.7500
Mo  0.5000  0.5000  0.5000

Results
The total energy comes out at -5.509 eV/atom. The value obtained for the formation enthalpy at 0 K is 1.222 eV per atom.



4.
## CoReAu2 (GGA-PBE)

Data for a relaxed structure of CoReAu2.

Unit cell a=4.4331 b=4.4331 c=4.4331 alpha=60.00 beta=60.00 gamma=60.00
Element x y z (fractional)
Co  0.0000  0.0000  0.0000
Re  0.5000  0.5000  0.5000
Au  0.2500  0.2500  0.2500
Au  0.7500  0.7500  0.7500

Results
The total energy comes out at -5.821 eV/atom. The energy above the most stable polymorph in this dataset is 0 meV per atom. The value obtained for the formation enthalpy at 0 K is 0.695 eV per atom.



5.
## Zr3InB2 (GGA-PBE)

Data for a relaxed structure of Zr3InB2.

Unit cell a=3.4418 b=3.4418 c=21.2137 alpha=90.00 beta=90.00 gamma=120.00
Element x y z (fractional)
Zr  0.0000  0.0000  0.0000
Zr  0.0000  0.0000  0.5000
Zr  0.3333  0.6667  0.1301
Zr  0.3333  0.6667  0.3699
Zr  0.6667  0.3333  0.6301
Zr  0.6667  0.3333  0.8699
In  0.0000  0.0000  0.2500
In  0.0000  0.0000  0.7500
B  0.3333  0.6667  0.5696
B  0.3333  0.6667  0.9304
B  0.6667  0.3333  0.0696
B  0.6667  0.3333  0.4304

Results
The total energy comes out at -7.378 eV/atom.



6.
## K3ErBr6 (GGA-PBE)

Data for a relaxed structure of K3ErBr6.

Unit cell a=7.8649 b=8.3777 c=13.6274 alpha=90.00 beta=124.14 gamma=90.00
Element x y z (fractional)
K  0.0000  0.0000  0.0000
K  0.0000  0.5000  0.5000
K  0.2119  0.0792  0.7432
K  0.2119  0.4208  0.2432
K  0.7881  0.5792  0.7568
K  0.7881  0.9208  0.2568
Er  0.5000  0.0000  0.5000
Er  0.5000  0.5000  0.0000
Br  0.1571  0.1784  0.4418
Br  0.1571  0.3216  0.9418
Br  0.2590  0.7231  0.4238
Br  0.2590  0.7769  0.9238
Br  0.4051  0.0538  0.2725
Br  0.4051  0.4462  0.7725
Br  0.5949  0.5538  0.2275
Br  0.5949  0.9462  0.7275
Br  0.7410  0.2231  0.0762
Br  0.7410  0.2769  0.5762
Br  0.8429  0.6784  0.0582
Br  0.8429  0.8216  0.5582

Results
The total energy comes out at -3.616 eV/atom.



7.
## HfMg (GGA-PBE)

Data for a relaxed structure of HfMg.

Unit cell a=5.5423 b=5.0328 c=6.1488 alpha=90.00 beta=90.00 gamma=90.00
Element x y z (fractional)
Hf  0.1125  0.2500  0.1350
Hf  0.3875  0.7500  0.6350
Hf  0.6125  0.2500  0.3650
Hf  0.8875  0.7500  0.8650
Mg  0.0870  0.2500  0.6298
Mg  0.4130  0.7500  0.1298
Mg  0.5870  0.2500  0.8702
Mg  0.9130  0.7500  0.3702

Results
The total energy comes out at -5.545 eV/atom.



8.
## YMgAsOs (GGA-PBE)

Data for a relaxed structure of YMgAsOs.

Unit cell a=4.6759 b=4.6759 c=4.6759 alpha=60.00 beta=60.00 gamma=60.00
Element x y z (fractional)
Y  0.0000  0.0000  0.0000
Mg  0.7500  0.7500  0.7500
As  0.2500  0.2500  0.2500
Os  0.5000  0.5000  0.5000

Results
The total energy comes out at -6.061 eV/atom. The energy above the most stable polymorph in this dataset is 0 meV per atom.